# Ba5P4

Crystalline Ba5P4 at its relaxed geometry (GGA-PBE, the Alexandria database).

Properties
Energy of formation from the pure elements   -307 meV per atom
SG   No. 139
Density   4.04 g/cm³
Polymorph energy (0 for the lowest one)   703.7 meV per atom

Unit cell a=8.217 b=8.217 c=8.217 alpha=96.60 beta=96.60 gamma=140.37
Atoms (fractional coordinates):
Ba 0.000 0.000 0.000
Ba 0.311 0.311 0.622
Ba 0.311 0.689 0.000
Ba 0.689 0.311 0.000
Ba 0.689 0.689 0.378
P 0.000 0.266 0.266
P 0.000 0.734 0.734
P 0.266 0.000 0.266
P 0.734 0.000 0.734